# 1
Compound: BaLaFe2
Source: Alexandria via LeMat-Bulk
Functional: PBE
Structure: relaxed

Structure (POSCAR):
```
BaLaFe2
1.0
-1.8567 2.2647 6.5923
1.8567 -2.2647 6.5923
1.8567 2.2647 -6.5923
Ba La Fe
1 1 2
Direct
0.0000 0.0000 0.0000
0.7333 0.2333 0.5000
0.2727 0.7727 0.5000
0.3776 0.3776 0.0000
```

Space-group type: Imm2
D(E_F), states/eV per cell: 4.01

---

# 2
Compound: Tb6PrY3
Source: Alexandria via LeMat-Bulk
Functional: PBE
Structure: relaxed

Structure (POSCAR):
```
Tb6PrY3
1.0
4.9445 2.8547 3.9175
-4.9445 2.8547 3.9175
0.0000 -5.7094 3.9175
Tb Pr Y
6 1 3
Direct
0.9996 0.3295 0.6709
0.1706 0.8298 0.4997
0.3295 0.6709 0.9996
0.4997 0.1706 0.8298
0.6709 0.9996 0.3295
0.8298 0.4997 0.1706
0.0003 0.0003 0.0003
0.2542 0.2542 0.2542
0.5006 0.5006 0.5006
0.7477 0.7477 0.7477
```

Space-group type: R3
Excess energy over the best structure of this formula in the dataset, meV/atom: 135
D(E_F), states/eV per cell: 21.24

---

no.,calculated volume (Å³ per atom),energy relative to the elements (meV/atom),size of the total moment (μB/atom)
1,27.7,374,0.933
2,33.2,278,0.000